VASP calculation (GGA-PBEsol) on crystalline LaReSi at its relaxed geometry.

Calculated values
**Space group**: F-43m, No. 216
**Energy relative to the elements, uncorrected**: 407 meV per atom

Cell lengths 4.494, 4.494, 4.494 Å; angles 60.00, 60.00, 60.00 degrees
Atoms (fractional coordinates):
1 Si 0.750 0.750 0.750
2 La 0.000 0.000 0.000
3 Re 0.500 0.500 0.500

***

VASP calculation (GGA-PBEsol) on crystalline LiGeBO4 at its relaxed geometry.

Calculated values
**Space group**: Fmm2, No. 42
**Energy relative to the elements, uncorrected**: -1944 meV per atom

Cell lengths 3.804, 3.804, 5.615 Å; angles 109.13, 109.13, 91.86 degrees
Atoms (fractional coordinates):
1 O 0.893 0.893 0.327
2 O 0.640 0.060 0.699
3 O 0.435 0.435 0.327
4 O 0.060 0.640 0.699
5 B 0.748 0.748 0.497
6 Ge 0.271 0.271 0.542
7 Li 0.006 0.006 0.012

***

VASP calculation (GGA-PBEsol) on crystalline U2PS at its relaxed geometry.

Calculated values
**Space group**: I4_1/amd, No. 141
**Energy relative to the elements, uncorrected**: -1124 meV per atom

Cell lengths 5.412, 5.412, 6.631 Å; angles 114.09, 114.09, 90.00 degrees
Atoms (fractional coordinates):
1 U 0.499 0.999 0.998
2 U 0.249 0.249 0.498
3 U 0.001 0.501 0.002
4 U 0.751 0.751 0.502
5 S 0.000 0.000 0.000
6 S 0.250 0.750 0.500
7 P 0.500 0.500 0.000
8 P 0.750 0.250 0.500

***

VASP calculation (GGA-PBEsol) on crystalline ZrTcRh at its relaxed geometry.

Calculated values
**Polymorph energy (0 for the lowest one)**: 0 meV/atom
**Space group**: F-43m, No. 216

Cell lengths 4.269, 4.269, 4.269 Å; angles 60.00, 60.00, 60.00 degrees
Atoms (fractional coordinates):
1 Rh 0.500 0.500 0.500
2 Tc 0.250 0.250 0.250
3 Zr 0.000 0.000 0.000

***

VASP calculation (GGA-PBEsol) on crystalline SbIr at its relaxed geometry.

Calculated values
**Space group**: P-3m1, No. 164
**Energy relative to the elements, uncorrected**: 196 meV per atom

Cell lengths 3.735, 3.735, 7.450 Å; angles 90.00, 90.00, 120.00 degrees
Atoms (fractional coordinates):
1 Sb 0.333 0.667 0.700
2 Sb 0.667 0.333 0.300
3 Ir 0.667 0.333 0.903
4 Ir 0.333 0.667 0.097

***

VASP calculation (GGA-PBEsol) on crystalline SrIrIO2 at its relaxed geometry.

Calculated values
**Space group**: P4/mmm, No. 123
**Energy relative to the elements, uncorrected**: 559 meV per atom

Cell lengths 4.269, 4.269, 6.651 Å; angles 90.00, 90.00, 90.00 degrees
Atoms (fractional coordinates):
1 O 0.000 0.500 0.000
2 O 0.500 0.000 0.000
3 Ir 0.500 0.500 0.500
4 Sr 0.000 0.000 0.000
5 I 0.000 0.000 0.500

***

VASP calculation (GGA-PBEsol) on crystalline Y4Mg at its relaxed geometry.

Calculated values
**VASP energy**: -28.847 eV per formula unit
**Space group**: I4/m, No. 87

Cell lengths 4.965, 5.968, 5.968 Å; angles 80.04, 65.42, 65.42 degrees
Atoms (fractional coordinates):
1 Y 0.395 0.801 0.409
2 Y 0.196 0.409 0.199
3 Y 0.605 0.199 0.591
4 Y 0.804 0.591 0.801
5 Mg 0.000 0.000 0.000

***

VASP calculation (GGA-PBEsol) on crystalline TlFeSi2 at its relaxed geometry.

Calculated values
**Polymorph energy (0 for the lowest one)**: 27 meV/atom
**Space group**: Immm, No. 71
**Energy relative to the elements, uncorrected**: 376 meV per atom

Cell lengths 2.692, 4.614, 5.866 Å; angles 113.16, 103.27, 90.00 degrees
Atoms (fractional coordinates):
1 Tl 0.000 0.500 0.000
2 Fe 0.500 0.000 0.000
3 Si 0.192 0.192 0.383
4 Si 0.808 0.808 0.617